Record 1
# CeHfMg14, optimized geometry, DFT GGA-PBE
# - Energy of formation: 0.089 eV/atom
# - Excess energy over the best structure of this formula in the dataset: 0.0241 eV per atom
data_CeHfMg14
_chemical_formula_sum 'Ce1 Hf1 Mg14'
_cell_length_a 6.5330
_cell_length_b 6.5330
_cell_length_c 10.2318
_cell_angle_alpha 90.00
_cell_angle_beta 90.00
_cell_angle_gamma 120.00
_space_group_name_H-M_alt 'P -6 m 2'
_space_group_IT_number 187
_space_group_name_Hall 'P -6 2'
loop_
_atom_site_label
_atom_site_type_symbol
_atom_site_fract_x
_atom_site_fract_y
_atom_site_fract_z
_atom_site_occupancy
Ce1 Ce 0.0000 0.0000 0.0000 1
Hf1 Hf 0.0000 0.0000 0.5000 1
Mg1 Mg 0.0137 0.5068 0.0000 1
Mg2 Mg 0.1668 0.3335 0.2590 1
Mg3 Mg 0.5005 0.0011 0.5000 1
Mg4 Mg 0.6667 0.3333 0.2422 1

Record 2
# CdFe2Tc2, optimized geometry, DFT GGA-PBE
# - Energy of formation: 0.322 eV/atom
# - Excess energy over the best structure of this formula in the dataset: 0.0716 eV per atom
data_CdFe2Tc2
_chemical_formula_sum 'Cd2 Fe4 Tc4'
_cell_length_a 7.403
_cell_length_b 7.403
_cell_length_c 2.642
_cell_angle_alpha 90.00
_cell_angle_beta 90.00
_cell_angle_gamma 90.00
_space_group_name_H-M_alt 'P 4/m b m'
_space_group_IT_number 127
_space_group_name_Hall '-P 4 2ab'
loop_
_atom_site_label
_atom_site_type_symbol
_atom_site_fract_x
_atom_site_fract_y
_atom_site_fract_z
_atom_site_occupancy
Cd1 Cd 0.000 0.000 0.000 1
Fe1 Fe 0.165 0.335 0.500 1
Tc1 Tc 0.124 0.624 0.000 1

Record 3
# Cu2NiPt3, optimized geometry, DFT GGA-PBE
# - Energy of formation: -0.127 eV/atom
# - Excess energy over the best structure of this formula in the dataset: 0.0000 eV per atom
data_Cu2NiPt3
_chemical_formula_sum 'Cu2 Ni1 Pt3'
_cell_length_a 2.748
_cell_length_b 2.748
_cell_length_c 10.946
_cell_angle_alpha 90.00
_cell_angle_beta 90.00
_cell_angle_gamma 90.00
_space_group_name_H-M_alt 'P 4/m m m'
_space_group_IT_number 123
_space_group_name_Hall '-P 4 2'
loop_
_atom_site_label
_atom_site_type_symbol
_atom_site_fract_x
_atom_site_fract_y
_atom_site_fract_z
_atom_site_occupancy
Cu1 Cu 0.000 0.000 0.168 1
Ni1 Ni 0.000 0.000 0.500 1
Pt1 Pt 0.500 0.500 0.000 1
Pt2 Pt 0.500 0.500 0.338 1

Record 4
# Pu2BeHO8, optimized geometry, DFT GGA-PBE
# - Final energy: -199.0 eV for the cell shown
data_Pu2BeHO8
_chemical_formula_sum 'Pu4 Be2 H2 O16'
_cell_length_a 5.453
_cell_length_b 7.649
_cell_length_c 7.194
_cell_angle_alpha 90.00
_cell_angle_beta 90.29
_cell_angle_gamma 90.00
_space_group_name_H-M_alt 'C 1 2/m 1'
_space_group_IT_number 12
loop_
_space_group_symop_operation_xyz
'x,y,z'
'-x,-y,-z'
'-x,y,-z'
'x,-y,z'
'x+1/2,y+1/2,z'
'-x+1/2,-y+1/2,-z'
'-x+1/2,y+1/2,-z'
'x+1/2,-y+1/2,z'
loop_
_atom_site_label
_atom_site_type_symbol
_atom_site_fract_x
_atom_site_fract_y
_atom_site_fract_z
_atom_site_occupancy
Pu1 Pu 0.001 0.000 0.258 1
Be1 Be 0.000 0.500 0.000 1
H1 H 0.000 0.500 0.500 1
O1 O 0.001 0.234 0.251 1
O2 O 0.236 0.000 0.000 1
O3 O 0.236 0.500 0.501 1

Record 5
# Th2CuPtAu, optimized geometry, DFT GGA-PBE
# - Energy of formation: -0.677 eV/atom
data_Th2CuPtAu
_chemical_formula_sum 'Th4 Cu2 Pt2 Au2'
_cell_length_a 7.100
_cell_length_b 4.509
_cell_length_c 7.482
_cell_angle_alpha 90.00
_cell_angle_beta 106.37
_cell_angle_gamma 90.00
_space_group_name_H-M_alt 'P 1 21/m 1'
_space_group_IT_number 11
loop_
_space_group_symop_operation_xyz
'x,y,z'
'-x,-y,-z'
'-x,y+1/2,-z'
'x,-y+1/2,z'
loop_
_atom_site_label
_atom_site_type_symbol
_atom_site_fract_x
_atom_site_fract_y
_atom_site_fract_z
_atom_site_occupancy
Th1 Th 0.148 0.250 0.356 1
Th2 Th 0.301 0.250 0.930 1
Cu1 Cu 0.456 0.750 0.347 1
Pt1 Pt 0.122 0.750 0.085 1
Au1 Au 0.317 0.750 0.655 1

Record 6
# Ca2Sm4Ho, optimized geometry, DFT GGA-PBE
# - Energy of formation: 0.135 eV/atom
# - Excess energy over the best structure of this formula in the dataset: 0.0000 eV per atom
data_Ca2Sm4Ho
_chemical_formula_sum 'Ca4 Sm8 Ho2'
_cell_length_a 3.572
_cell_length_b 5.885
_cell_length_c 23.646
_cell_angle_alpha 90.00
_cell_angle_beta 90.00
_cell_angle_gamma 90.00
_space_group_name_H-M_alt 'I m m m'
_space_group_IT_number 71
_space_group_name_Hall '-I 2 2'
loop_
_atom_site_label
_atom_site_type_symbol
_atom_site_fract_x
_atom_site_fract_y
_atom_site_fract_z
_atom_site_occupancy
Ca1 Ca 0.000 0.000 0.221 1
Sm1 Sm 0.000 0.500 0.129 1
Sm2 Sm 0.000 0.500 0.420 1
Ho1 Ho 0.000 0.000 0.500 1